The following is a meta-GGA SCAN calculation of CuTc2BiTe at its PBEsol-relaxed geometry, from Alexandria via LeMat-Bulk.

```
data_CuTc2BiTe
_space_group_name_H-M_alt 'P 4/m m m'
_space_group_IT_number 123
_space_group_name_Hall '-P 4 2'
_cell_length_a 4.7466
_cell_length_b 4.7466
_cell_length_c 4.6544
_cell_angle_alpha 90.00
_cell_angle_beta 90.00
_cell_angle_gamma 90.00
loop_
_atom_site_label
_atom_site_type_symbol
_atom_site_fract_x
_atom_site_fract_y
_atom_site_fract_z
Cu1 Cu 0.0000 0.0000 0.0000
Tc1 Tc 0.0000 0.5000 0.0000
Bi1 Bi 0.5000 0.5000 0.5000
Te1 Te 0.0000 0.0000 0.5000
```

## Properties
Crystal system: tetragonal
ρ: 9.4 Mg/m³
E_form (uncorrected): 6.53 eV per formula unit
Total magnetization: 5.82 Bohr magnetons per cell
Raw total energy: -38.925 eV/atom

***

The following is a meta-GGA SCAN calculation of TiCu3Bi at its PBEsol-relaxed geometry, from Alexandria via LeMat-Bulk.

```
data_TiCu3Bi
_space_group_name_H-M_alt 'P m -3 m'
_space_group_IT_number 221
_space_group_name_Hall '-P 4 2 3'
_cell_length_a 4.6019
_cell_length_b 4.6019
_cell_length_c 4.6019
_cell_angle_alpha 90.00
_cell_angle_beta 90.00
_cell_angle_gamma 90.00
loop_
_atom_site_label
_atom_site_type_symbol
_atom_site_fract_x
_atom_site_fract_y
_atom_site_fract_z
Ti1 Ti 0.0000 0.0000 0.0000
Cu1 Cu 0.0000 0.0000 0.5000
Bi1 Bi 0.5000 0.5000 0.5000
```

## Properties
Crystal system: cubic
ρ: 7.6 Mg/m³
Energy of formation: 1.064 eV per atom
Total magnetization: 1.65 Bohr magnetons per cell
Raw total energy: -26.978 eV/atom

***

The following is a meta-GGA SCAN calculation of Ti5CuBi3 at its PBEsol-relaxed geometry, from Alexandria via LeMat-Bulk.

```
data_Ti5CuBi3
_space_group_name_H-M_alt 'P 63/m c m'
_space_group_IT_number 193
_space_group_name_Hall '-P 6c 2'
_cell_length_a 8.2743
_cell_length_b 8.2743
_cell_length_c 5.5418
_cell_angle_alpha 90.00
_cell_angle_beta 90.00
_cell_angle_gamma 120.00
loop_
_atom_site_label
_atom_site_type_symbol
_atom_site_fract_x
_atom_site_fract_y
_atom_site_fract_z
Ti1 Ti 0.0000 0.2635 0.2500
Ti2 Ti 0.3333 0.6667 0.0000
Cu1 Cu 0.0000 0.0000 0.0000
Bi1 Bi 0.0000 0.3826 0.7500
```

## Properties
Crystal system: hexagonal
ρ: 9.4 Mg/m³
Energy of formation: -0.280 eV per atom
Total magnetization: 0.00 Bohr magnetons per cell
Raw total energy: -37.068 eV/atom

***

The following is a meta-GGA SCAN calculation of YCu2Bi2 at its PBEsol-relaxed geometry, from Alexandria via LeMat-Bulk.

```
data_YCu2Bi2
_space_group_name_H-M_alt 'I 4/m m m'
_space_group_IT_number 139
_space_group_name_Hall '-I 4 2'
_cell_length_a 3.9296
_cell_length_b 3.9296
_cell_length_c 14.3199
_cell_angle_alpha 90.00
_cell_angle_beta 90.00
_cell_angle_gamma 90.00
loop_
_atom_site_label
_atom_site_type_symbol
_atom_site_fract_x
_atom_site_fract_y
_atom_site_fract_z
Y1 Y 0.0000 0.0000 0.0000
Cu1 Cu 0.0000 0.5000 0.2500
Bi1 Bi 0.0000 0.0000 0.3812
```

## Properties
Crystal system: tetragonal
ρ: 9.5 Mg/m³
Energy of formation: -0.155 eV per atom
Total magnetization: 0.00 Bohr magnetons per cell
Raw total energy: -43.235 eV/atom

***

The following is a meta-GGA SCAN calculation of Zr6CuBi2 at its PBEsol-relaxed geometry, from Alexandria via LeMat-Bulk.

```
data_Zr6CuBi2
_space_group_name_H-M_alt 'P -6 2 m'
_space_group_IT_number 189
_space_group_name_Hall 'P -6 -2'
_cell_length_a 7.7731
_cell_length_b 7.7731
_cell_length_c 3.7506
_cell_angle_alpha 90.00
_cell_angle_beta 90.00
_cell_angle_gamma 120.00
loop_
_atom_site_label
_atom_site_type_symbol
_atom_site_fract_x
_atom_site_fract_y
_atom_site_fract_z
Zr1 Zr 0.0000 0.3946 0.0000
Zr2 Zr 0.0000 0.7614 0.5000
Cu1 Cu 0.0000 0.0000 0.0000
Bi1 Bi 0.3333 0.6667 0.5000
```

## Properties
Crystal system: hexagonal
ρ: 8.7 Mg/m³
Energy of formation: -0.415 eV per atom
Total magnetization: 0.00 Bohr magnetons per cell
Raw total energy: -40.032 eV/atom

***

The following is a meta-GGA SCAN calculation of Zr5CuBi3 at its PBEsol-relaxed geometry, from Alexandria via LeMat-Bulk.

```
data_Zr5CuBi3
_space_group_name_H-M_alt 'P 63/m c m'
_space_group_IT_number 193
_space_group_name_Hall '-P 6c 2'
_cell_length_a 8.7002
_cell_length_b 8.7002
_cell_length_c 5.8507
_cell_angle_alpha 90.00
_cell_angle_beta 90.00
_cell_angle_gamma 120.00
loop_
_atom_site_label
_atom_site_type_symbol
_atom_site_fract_x
_atom_site_fract_y
_atom_site_fract_z
Zr1 Zr 0.0000 0.2596 0.2500
Zr2 Zr 0.3333 0.6667 0.0000
Cu1 Cu 0.0000 0.0000 0.0000
Bi1 Bi 0.0000 0.3861 0.7500
```

## Properties
Crystal system: hexagonal
ρ: 9.9 Mg/m³
Energy of formation: -0.539 eV per atom
Total magnetization: 0.00 Bohr magnetons per cell
Raw total energy: -45.476 eV/atom

***

The following is a meta-GGA SCAN calculation of DyBi at its PBEsol-relaxed geometry, from Alexandria via LeMat-Bulk.

```
data_DyBi
_space_group_name_H-M_alt 'F m -3 m'
_space_group_IT_number 225
_space_group_name_Hall '-F 4 2 3'
_cell_length_a 6.2202
_cell_length_b 6.2202
_cell_length_c 6.2202
_cell_angle_alpha 90.00
_cell_angle_beta 90.00
_cell_angle_gamma 90.00
loop_
_atom_site_label
_atom_site_type_symbol
_atom_site_fract_x
_atom_site_fract_y
_atom_site_fract_z
Dy1 Dy 0.0000 0.0000 0.0000
Bi1 Bi 0.0000 0.0000 0.5000
```

## Properties
Crystal system: cubic
ρ: 10.3 Mg/m³
Energy of formation: -0.995 eV per atom
Total magnetization: 0.00 Bohr magnetons per cell
Raw total energy: -64.183 eV/atom

***

The following is a meta-GGA SCAN calculation of Dy6MnBi2 at its PBEsol-relaxed geometry, from Alexandria via LeMat-Bulk.

```
data_Dy6MnBi2
_space_group_name_H-M_alt 'P -6 2 m'
_space_group_IT_number 189
_space_group_name_Hall 'P -6 -2'
_cell_length_a 8.1866
_cell_length_b 8.1866
_cell_length_c 4.1798
_cell_angle_alpha 90.00
_cell_angle_beta 90.00
_cell_angle_gamma 120.00
loop_
_atom_site_label
_atom_site_type_symbol
_atom_site_fract_x
_atom_site_fract_y
_atom_site_fract_z
Dy1 Dy 0.0000 0.2322 0.0000
Dy2 Dy 0.0000 0.6064 0.5000
Mn1 Mn 0.0000 0.0000 0.5000
Bi1 Bi 0.3333 0.6667 0.0000
```

## Properties
Crystal system: hexagonal
ρ: 9.9 Mg/m³
Energy of formation: -0.529 eV per atom
Total magnetization: 0.45 Bohr magnetons per cell
Raw total energy: -51.883 eV/atom